Density functional theory data (PBE) for LiB2Pt2 after structural relaxation.

a = 6.196 Å, b = 6.196 Å, c = 6.196 Å
α = 150.42°, β = 150.42°, γ = 42.32°
Fractional coordinates of all 5 atoms:
1 B 0.750 0.250 0.500
2 B 0.250 0.750 0.500
3 Li 0.000 0.000 0.000
4 Pt 0.377 0.377 0.000
5 Pt 0.623 0.623 0.000

Offset from the most stable computed form: 119 meV/atom
Space group: No. 139